1.
The following is a PBE calculation of an optimized crystal structure of MgSi, from the Alexandria database.

a = 3.623 Å, b = 4.199 Å, c = 5.496 Å
α = 114.92°, β = 90.00°, γ = 90.00°
Fractional positions:
Si (0.250, 0.059, 0.156)
Mg (0.750, 0.638, 0.292)
Mg (0.250, 0.362, 0.708)
Si (0.750, 0.941, 0.844)

Summary:
N(E_F)   1.453 states/eV per cell
Formation energy from raw total energies   -0.02 eV per atom
M_tot   0.00 μB per formula unit

---

2.
The following is a PBE calculation of an optimized crystal structure of NaPd3Pb4, from the Alexandria database.

a = 4.692 Å, b = 7.403 Å, c = 6.048 Å
α = 101.73°, β = 112.83°, γ = 90.00°
Fractional positions:
Na (0.500, 0.000, 0.000)
Pb (0.637, 0.450, 0.274)
Pb (0.823, 0.153, 0.647)
Pd (0.000, 0.500, 0.000)
Pb (0.363, 0.550, 0.726)
Pd (0.840, 0.773, 0.679)
Pd (0.160, 0.227, 0.321)
Pb (0.177, 0.847, 0.353)

Summary:
N(E_F)   2.979 states/eV per cell
M_tot   0.00 μB per formula unit

---

3.
The following is a PBE calculation of an optimized crystal structure of FeCo3P, from the Alexandria database.

a = 4.087 Å, b = 4.087 Å, c = 4.087 Å
α = 90.00°, β = 90.00°, γ = 90.00°
Fractional positions:
Co (0.000, 0.000, 0.500)
P (0.000, 0.000, 0.000)
Fe (0.500, 0.500, 0.500)
Co (0.000, 0.500, 0.000)
Co (0.500, 0.000, 0.000)

Summary:
N(E_F)   9.805 states/eV per cell
M_tot   6.73 μB per formula unit

---

4.
The following is a PBE calculation of an optimized crystal structure of CaPm4Nd4, from the Alexandria database.

a = 10.828 Å, b = 9.251 Å, c = 12.192 Å
α = 58.61°, β = 106.83°, γ = 141.22°
Fractional positions:
Nd (0.098, 0.803, 0.444)
Nd (0.720, 0.162, 0.096)
Nd (0.280, 0.838, 0.904)
Pm (0.056, 0.161, 0.088)
Pm (0.560, 0.178, 0.571)
Nd (0.835, 0.508, 0.753)
Pm (0.224, 0.186, 0.565)
Pm (0.167, 0.497, 0.749)
Pm (0.440, 0.822, 0.429)
Ca (0.501, 0.503, 0.243)
Ca (0.499, 0.497, 0.757)
Nd (0.165, 0.492, 0.247)
Nd (0.371, 0.125, 0.107)
Pm (0.944, 0.839, 0.912)
Nd (0.629, 0.875, 0.893)
Nd (0.902, 0.197, 0.556)
Pm (0.833, 0.503, 0.251)
Pm (0.776, 0.814, 0.435)

Summary:
N(E_F)   24.883 states/eV per cell
M_tot   0.00 μB per formula unit

---

5.
The following is a PBE calculation of an optimized crystal structure of ScCo2Ru, from the Alexandria database.

a = 8.431 Å, b = 8.431 Å, c = 8.431 Å
α = 19.26°, β = 19.26°, γ = 19.26°
Fractional positions:
Ru (0.506, 0.506, 0.506)
Co (0.253, 0.253, 0.253)
Co (0.994, 0.994, 0.994)
Sc (0.747, 0.747, 0.747)

Summary:
N(E_F)   6.116 states/eV per cell
M_tot   3.69 μB per formula unit

---

6.
The following is a PBE calculation of an optimized crystal structure of LaScPb2, from the Alexandria database.

a = 10.165 Å, b = 10.165 Å, c = 10.165 Å
α = 20.88°, β = 20.88°, γ = 20.88°
Fractional positions:
Sc (0.250, 0.250, 0.250)
Pb (0.993, 0.993, 0.993)
La (0.750, 0.750, 0.750)
Pb (0.507, 0.507, 0.507)

Summary:
N(E_F)   2.635 states/eV per cell
M_tot   0.00 μB per formula unit

---

7.
The following is a PBE calculation of an optimized crystal structure of CrTc2MoH, from the Alexandria database.

a = 3.936 Å, b = 3.936 Å, c = 3.824 Å
α = 90.00°, β = 90.00°, γ = 90.00°
Fractional positions:
Tc (0.000, 0.500, 0.000)
Tc (0.500, 0.000, 0.000)
Cr (0.000, 0.000, 0.500)
H (0.000, 0.000, 0.000)
Mo (0.500, 0.500, 0.500)

Summary:
N(E_F)   4.773 states/eV per cell
M_tot   0.65 μB per formula unit

---

8.
The following is a PBE calculation of an optimized crystal structure of SmEr2Ru, from the Alexandria database.

a = 3.893 Å, b = 6.323 Å, c = 9.090 Å
α = 90.00°, β = 90.00°, γ = 107.94°
Fractional positions:
Sm (0.074, 0.148, 0.750)
Er (0.355, 0.710, 0.568)
Er (0.645, 0.290, 0.068)
Er (0.645, 0.290, 0.432)
Ru (0.744, 0.489, 0.750)
Sm (0.926, 0.852, 0.250)
Er (0.355, 0.710, 0.932)
Ru (0.256, 0.511, 0.250)

Summary:
N(E_F)   6.821 states/eV per cell
M_tot   0.00 μB per formula unit

---

9.
The following is a PBE calculation of an optimized crystal structure of LaCo3Bi, from the Alexandria database.

a = 4.706 Å, b = 4.706 Å, c = 4.706 Å
α = 90.00°, β = 90.00°, γ = 90.00°
Fractional positions:
Bi (0.500, 0.500, 0.500)
Co (0.500, 0.000, 0.000)
La (0.000, 0.000, 0.000)
Co (0.000, 0.000, 0.500)
Co (0.000, 0.500, 0.000)

Summary:
N(E_F)   11.338 states/eV per cell
M_tot   2.30 μB per formula unit

---

10.
The following is a PBE calculation of an optimized crystal structure of NdHoLuAl, from the Alexandria database.

a = 5.361 Å, b = 5.361 Å, c = 5.361 Å
α = 60.00°, β = 60.00°, γ = 60.00°
Fractional positions:
Ho (0.500, 0.500, 0.500)
Lu (0.750, 0.750, 0.750)
Nd (0.000, 0.000, 0.000)
Al (0.250, 0.250, 0.250)

Summary:
N(E_F)   6.237 states/eV per cell
M_tot   0.01 μB per formula unit

---

11.
The following is a PBE calculation of an optimized crystal structure of Ce4CoGe8, from the Alexandria database.

a = 4.062 Å, b = 4.162 Å, c = 16.338 Å
α = 90.00°, β = 90.00°, γ = 90.00°
Fractional positions:
Ce (0.000, 0.500, 0.608)
Ge (0.500, 0.500, 0.752)
Ge (0.500, 0.500, 0.048)
Ge (0.500, 0.000, 0.241)
Ce (0.500, 0.000, 0.894)
Ce (0.000, 0.000, 0.107)
Co (0.000, 0.000, 0.313)
Ge (0.000, 0.000, 0.750)
Ge (0.000, 0.500, 0.948)
Ce (0.500, 0.500, 0.393)
Ge (0.000, 0.500, 0.242)
Ge (0.500, 0.000, 0.553)
Ge (0.000, 0.000, 0.455)

Summary:
N(E_F)   12.498 states/eV per cell
M_tot   0.56 μB per formula unit

---

12.
The following is a PBE calculation of an optimized crystal structure of Sr2Ga2O, from the Alexandria database.

a = 3.607 Å, b = 3.607 Å, c = 9.016 Å
α = 78.46°, β = 78.46°, γ = 90.00°
Fractional positions:
Sr (0.588, 0.588, 0.823)
O (0.000, 0.000, 0.000)
Ga (0.750, 0.250, 0.500)
Sr (0.412, 0.412, 0.177)
Ga (0.250, 0.750, 0.500)

Summary:
N(E_F)   2.091 states/eV per cell
Formation energy from raw total energies   -0.82 eV per atom
M_tot   0.00 μB per formula unit

---

13.
The following is a PBE calculation of an optimized crystal structure of Dy6Se8Br, from the Alexandria database.

a = 4.197 Å, b = 11.190 Å, c = 11.190 Å
α = 120.00°, β = 90.00°, γ = 90.00°
Fractional positions:
Se (0.247, 0.378, 0.047)
Se (0.753, 0.047, 0.669)
Se (0.753, 0.331, 0.378)
Dy (0.747, 0.332, 0.862)
Br (0.500, 0.000, 0.000)
Dy (0.253, 0.668, 0.138)
Se (0.247, 0.953, 0.331)
Dy (0.747, 0.138, 0.470)
Dy (0.747, 0.530, 0.668)
Dy (0.253, 0.470, 0.332)
Se (0.753, 0.622, 0.953)
Se (0.751, 0.667, 0.333)
Se (0.249, 0.333, 0.667)
Dy (0.253, 0.862, 0.530)
Se (0.247, 0.669, 0.622)

Summary:
N(E_F)   4.074 states/eV per cell
Formation energy from raw total energies   -1.70 eV per atom
M_tot   0.11 μB per formula unit

---

14.
The following is a PBE calculation of an optimized crystal structure of Pr3HoSn2, from the Alexandria database.

a = 4.670 Å, b = 4.670 Å, c = 8.768 Å
α = 90.00°, β = 90.00°, γ = 90.00°
Fractional positions:
Pr (0.000, 0.000, 0.000)
Pr (0.000, 0.500, 0.650)
Pr (0.500, 0.000, 0.350)
Sn (0.500, 0.000, 0.725)
Sn (0.000, 0.500, 0.275)
Ho (0.500, 0.500, 0.000)

Summary:
N(E_F)   7.807 states/eV per cell
M_tot   0.00 μB per formula unit

---

15.
The following is a PBE calculation of an optimized crystal structure of SiGeCl, from the Alexandria database.

a = 9.820 Å, b = 4.920 Å, c = 6.135 Å
α = 90.00°, β = 91.84°, γ = 90.00°
Fractional positions:
Ge (0.589, 0.500, 0.700)
Si (0.637, 0.500, 0.104)
Cl (0.162, 0.500, 0.769)
Ge (0.411, 0.500, 0.300)
Si (0.363, 0.500, 0.896)
Si (0.363, 0.000, 0.396)
Cl (0.838, 0.000, 0.731)
Cl (0.162, 0.000, 0.269)
Ge (0.411, 0.000, 0.800)
Cl (0.838, 0.500, 0.231)
Ge (0.589, 0.000, 0.200)
Si (0.637, 0.000, 0.604)

Summary:
N(E_F)   2.601 states/eV per cell
Formation energy from raw total energies   -0.22 eV per atom
M_tot   0.00 μB per formula unit

---

16.
The following is a PBE calculation of an optimized crystal structure of Hf3ZrSe6, from the Alexandria database.

a = 7.943 Å, b = 7.943 Å, c = 7.943 Å
α = 91.45°, β = 91.45°, γ = 91.45°
Fractional positions:
Se (0.318, 0.949, 0.146)
Hf (0.821, 0.360, 0.959)
Hf (0.959, 0.821, 0.360)
Se (0.805, 0.422, 0.639)
Se (0.639, 0.805, 0.422)
Se (0.949, 0.146, 0.318)
Hf (0.640, 0.041, 0.179)
Zr (0.500, 0.500, 0.500)
Se (0.146, 0.318, 0.949)
Se (0.854, 0.682, 0.051)
Se (0.195, 0.578, 0.361)
Hf (0.041, 0.179, 0.640)
Se (0.682, 0.051, 0.854)
Se (0.051, 0.854, 0.682)
Hf (0.360, 0.959, 0.821)
Hf (0.179, 0.640, 0.041)
Se (0.578, 0.361, 0.195)
Zr (0.000, 0.000, 0.000)
Se (0.361, 0.195, 0.578)
Se (0.422, 0.639, 0.805)

Summary:
N(E_F)   8.028 states/eV per cell
Formation energy from raw total energies   -1.08 eV per atom
M_tot   0.00 μB per formula unit

---

17.
The following is a PBE calculation of an optimized crystal structure of Tb4CdGa2Rh, from the Alexandria database.

a = 5.098 Å, b = 5.098 Å, c = 8.780 Å
α = 73.12°, β = 73.12°, γ = 60.00°
Fractional positions:
Rh (0.500, 0.500, 0.500)
Cd (0.000, 0.000, 0.000)
Ga (0.744, 0.744, 0.769)
Tb (0.869, 0.869, 0.393)
Tb (0.383, 0.383, 0.850)
Ga (0.256, 0.256, 0.231)
Tb (0.131, 0.131, 0.607)
Tb (0.617, 0.617, 0.150)

Summary:
N(E_F)   3.819 states/eV per cell
M_tot   0.00 μB per formula unit

---

18.
The following is a PBE calculation of an optimized crystal structure of Zr2Cd2Hg, from the Alexandria database.

a = 7.238 Å, b = 7.238 Å, c = 4.277 Å
α = 90.00°, β = 90.00°, γ = 90.00°
Fractional positions:
Hg (0.000, 0.000, 0.000)
Zr (0.836, 0.336, 0.500)
Cd (0.365, 0.865, 0.000)
Hg (0.500, 0.500, 0.000)
Zr (0.164, 0.664, 0.500)
Cd (0.865, 0.635, 0.000)
Cd (0.635, 0.135, 0.000)
Zr (0.336, 0.164, 0.500)
Cd (0.135, 0.365, 0.000)
Zr (0.664, 0.836, 0.500)

Summary:
N(E_F)   4.702 states/eV per cell
M_tot   0.00 μB per formula unit

---

19.
The following is a PBE calculation of an optimized crystal structure of Ho8Er2Sc3, from the Alexandria database.

a = 6.521 Å, b = 8.704 Å, c = 8.452 Å
α = 120.99°, β = 97.40°, γ = 90.00°
Fractional positions:
Ho (0.116, 0.413, 0.825)
Ho (0.572, 0.573, 0.780)
Ho (0.428, 0.793, 0.220)
Ho (0.793, 0.194, 0.388)
Ho (0.884, 0.587, 0.175)
Ho (0.207, 0.806, 0.612)
Sc (0.000, 0.164, 0.000)
Ho (0.428, 0.427, 0.220)
Er (0.286, 0.200, 0.400)
Sc (0.000, 0.836, 0.000)
Sc (0.500, 0.000, 0.000)
Er (0.714, 0.800, 0.600)
Ho (0.572, 0.207, 0.780)

Summary:
N(E_F)   20.351 states/eV per cell
M_tot   0.00 μB per formula unit

---

20.
The following is a PBE calculation of an optimized crystal structure of Nd2CdAs3Pd4, from the Alexandria database.

a = 4.246 Å, b = 4.246 Å, c = 11.106 Å
α = 90.00°, β = 90.00°, γ = 90.00°
Fractional positions:
Cd (0.500, 0.500, 0.500)
Pd (0.500, 0.500, 0.000)
Nd (0.500, 0.000, 0.229)
As (0.500, 0.000, 0.867)
As (0.000, 0.500, 0.133)
Pd (0.000, 0.500, 0.351)
Pd (0.000, 0.000, 0.000)
Nd (0.000, 0.500, 0.771)
Pd (0.500, 0.000, 0.649)
As (0.000, 0.000, 0.500)

Summary:
N(E_F)   5.878 states/eV per cell
M_tot   0.00 μB per formula unit

---

21.
The following is a PBE calculation of an optimized crystal structure of Ba4CdAgI2, from the Alexandria database.

a = 4.829 Å, b = 8.404 Å, c = 9.432 Å
α = 107.15°, β = 90.00°, γ = 90.00°
Fractional positions:
Ag (0.000, 0.000, 0.000)
Ba (0.500, 0.237, 0.218)
Cd (0.500, 0.500, 0.000)
Ba (0.000, 0.253, 0.775)
I (0.000, 0.500, 0.500)
Ba (0.500, 0.763, 0.782)
I (0.500, 0.000, 0.500)
Ba (0.000, 0.747, 0.225)

Summary:
N(E_F)   6.460 states/eV per cell
Formation energy from raw total energies   -0.78 eV per atom
M_tot   0.26 μB per formula unit

---

22.
The following is a PBE calculation of an optimized crystal structure of Mg2Si3, from the Alexandria database.

a = 3.770 Å, b = 5.782 Å, c = 18.337 Å
α = 90.30°, β = 86.22°, γ = 89.84°
Fractional positions:
Si (0.740, 0.162, 0.177)
Mg (0.487, 0.879, 0.922)
Mg (0.549, 0.592, 0.721)
Si (0.053, 0.900, 0.688)
Si (0.908, 0.421, 0.856)
Si (0.140, 0.231, 0.535)
Si (0.294, 0.627, 0.042)
Mg (0.132, 0.693, 0.560)
Mg (0.674, 0.468, 0.429)
Si (0.201, 0.735, 0.339)
Si (0.651, 0.998, 0.502)
Si (0.017, 0.813, 0.818)
Mg (0.524, 0.125, 0.773)
Si (0.690, 0.971, 0.372)
Mg (0.209, 0.266, 0.288)
Si (0.382, 0.363, 0.935)
Mg (0.235, 0.801, 0.195)
Mg (0.272, 0.132, 0.066)
Si (0.069, 0.297, 0.666)
Si (0.771, 0.527, 0.116)

Summary:
N(E_F)   5.507 states/eV per cell
Formation energy from raw total energies   0.10 eV per atom
M_tot   0.00 μB per formula unit

---

23.
The following is a PBE calculation of an optimized crystal structure of LaNi2Te, from the Alexandria database.

a = 4.765 Å, b = 4.941 Å, c = 4.703 Å
α = 65.82°, β = 82.09°, γ = 114.62°
Fractional positions:
Te (0.000, 0.500, 0.500)
Ni (0.500, 0.000, 0.500)
La (0.500, 0.500, 0.000)
Ni (0.000, 0.000, 0.000)

Summary:
N(E_F)   2.285 states/eV per cell
Formation energy from raw total energies   -0.21 eV per atom
M_tot   0.00 μB per formula unit

---

Sequential E_tot output: -3.529, -4.169, -6.668, -4.397, -7.196, -4.994, -8.783, -6.081, -4.755, -4.477, -5.830, -3.700, -5.515, -5.058, -4.182, -7.015, -4.686, -3.800, -4.722, -5.324, -2.595, -3.791, -5.119 eV/atom